Entry from Alexandria via LeMat-Bulk: a geometry-optimized TbPmOs structure (PBE).

a b c (Å): 7.1930 7.1930 7.1930
angles (deg): 152.35 152.35 39.50
Atoms (fractional coordinates):
1 Tb 0.0000 0.0000 0.0000
2 Pm 0.2489 0.2489 0.0000
3 Os 0.6208 0.6208 0.0000

Calculated values
SG   I4mm
Energy relative to the lowest polymorph listed for this composition   0.000 eV/atom
Formation energy   -0.1357 eV/atom



Entry from Alexandria via LeMat-Bulk: a geometry-optimized Li2LaSm2Hg2 structure (PBE).

a b c (Å): 3.6454 3.6454 17.5189
angles (deg): 90.00 90.00 120.00
Atoms (fractional coordinates):
1 Li 0.3333 0.6667 0.0584
2 Li 0.6667 0.3333 0.9416
3 La 0.0000 0.0000 0.5000
4 Sm 0.0000 0.0000 0.2122
5 Sm 0.0000 0.0000 0.7878
6 Hg 0.3333 0.6667 0.3516
7 Hg 0.6667 0.3333 0.6484

Calculated values
SG   P-3m1
Formation energy   -0.0779 eV/atom



Entry from Alexandria via LeMat-Bulk: a geometry-optimized TlZnOs2 structure (PBE).

a b c (Å): 6.4945 6.4945 6.4945
angles (deg): 154.81 140.33 47.58
Atoms (fractional coordinates):
1 Tl 0.0000 0.0000 0.0000
2 Zn 0.7145 0.2145 0.5000
3 Os 0.2199 0.7199 0.5000
4 Os 0.3941 0.3941 0.0000

Calculated values
SG   Imm2
Energy relative to the lowest polymorph listed for this composition   0.370 eV/atom
Formation energy   0.7250 eV/atom



Entry from Alexandria via LeMat-Bulk: a geometry-optimized K3DySc3Te8 structure (PBE).

a b c (Å): 8.4492 8.4492 9.7612
angles (deg): 115.60 115.60 60.03
Atoms (fractional coordinates):
1 K 0.0000 0.0000 0.0000
2 K 0.0000 0.5000 0.0000
3 K 0.5000 0.0000 0.0000
4 Dy 0.0000 0.0000 0.5000
5 Sc 0.0000 0.5000 0.5000
6 Sc 0.5000 0.0000 0.5000
7 Sc 0.5000 0.5000 0.5000
8 Te 0.2422 0.2422 0.7040
9 Te 0.2423 0.7199 0.7041
10 Te 0.2672 0.2672 0.3019
11 Te 0.2801 0.7577 0.2959
12 Te 0.7199 0.2423 0.7041
13 Te 0.7328 0.7328 0.6981
14 Te 0.7577 0.2801 0.2959
15 Te 0.7578 0.7578 0.2960

Calculated values
SG   C2/m
Raw formation energy   -118.3 kJ per mole of atoms



Entry from Alexandria via LeMat-Bulk: a geometry-optimized MgBi2Rh2 structure (PBE).

a b c (Å): 4.6178 4.6649 9.8599
angles (deg): 90.00 90.00 90.00
Atoms (fractional coordinates):
1 Mg 0.2500 0.2500 0.1642
2 Mg 0.7500 0.7500 0.8358
3 Bi 0.2500 0.2500 0.4862
4 Bi 0.2500 0.2500 0.8323
5 Bi 0.7500 0.7500 0.1677
6 Bi 0.7500 0.7500 0.5138
7 Rh 0.2500 0.7500 0.0040
8 Rh 0.2500 0.7500 0.3272
9 Rh 0.7500 0.2500 0.6728
10 Rh 0.7500 0.2500 0.9960

Calculated values
SG   Pmmn
Energy relative to the lowest polymorph listed for this composition   0.000 eV/atom
Formation energy   -0.2698 eV/atom



Entry from Alexandria via LeMat-Bulk: a geometry-optimized Ca2Pm2Er structure (PBE).

a b c (Å): 9.3796 9.3796 9.3796
angles (deg): 151.66 151.66 40.52
Atoms (fractional coordinates):
1 Ca 0.2500 0.7500 0.5000
2 Ca 0.7500 0.2500 0.5000
3 Pm 0.0882 0.0882 0.0000
4 Pm 0.9118 0.9118 0.0000
5 Er 0.5000 0.5000 0.0000

Calculated values
SG   I4/mmm
Energy relative to the lowest polymorph listed for this composition   0.362 eV/atom
Formation energy   0.3944 eV/atom



Entry from Alexandria via LeMat-Bulk: a geometry-optimized CdSb2Pt2 structure (PBE).

a b c (Å): 8.1718 8.1718 3.2270
angles (deg): 90.00 90.00 90.00
Atoms (fractional coordinates):
1 Cd 0.0000 0.0000 0.0000
2 Cd 0.5000 0.5000 0.0000
3 Sb 0.1647 0.3353 0.0000
4 Sb 0.3353 0.8353 0.0000
5 Sb 0.6647 0.1647 0.0000
6 Sb 0.8353 0.6647 0.0000
7 Pt 0.1238 0.6238 0.5000
8 Pt 0.3762 0.1238 0.5000
9 Pt 0.6238 0.8762 0.5000
10 Pt 0.8762 0.3762 0.5000

Calculated values
SG   P4/mbm
Energy relative to the lowest polymorph listed for this composition   0.172 eV/atom
Raw formation energy   -1.6 kJ per mole of atoms



Entry from Alexandria via LeMat-Bulk: a geometry-optimized Rb2TlInSb2 structure (PBE).

a b c (Å): 9.8195 9.8195 9.8195
angles (deg): 134.12 66.76 134.29
Atoms (fractional coordinates):
1 Rb 0.1676 0.2368 0.4043
2 Rb 0.3324 0.7368 0.0692
3 Rb 0.6676 0.2632 0.9308
4 Rb 0.8324 0.7632 0.5957
5 Tl 0.2500 0.2500 0.0000
6 Tl 0.7500 0.7500 0.0000
7 In 0.2500 0.7500 0.5000
8 In 0.7500 0.2500 0.5000
9 Sb 0.0978 0.7194 0.8173
10 Sb 0.4022 0.2194 0.6216
11 Sb 0.5978 0.7806 0.3784
12 Sb 0.9022 0.2806 0.1827

Calculated values
SG   Ibam
Raw formation energy   -31.7 kJ per mole of atoms



Entry from Alexandria via LeMat-Bulk: a geometry-optimized Ca5Bi3P structure (PBE).

a b c (Å): 10.1869 10.1869 10.1869
angles (deg): 132.11 132.11 70.05
Atoms (fractional coordinates):
1 Ca 0.0000 0.0000 0.0000
2 Ca 0.0281 0.5281 0.8589
3 Ca 0.1692 0.0281 0.5000
4 Ca 0.3308 0.8308 0.8589
5 Ca 0.4719 0.3308 0.5000
6 Ca 0.5000 0.5000 0.0000
7 Ca 0.5281 0.6692 0.5000
8 Ca 0.6692 0.1692 0.1411
9 Ca 0.8308 0.9719 0.5000
10 Ca 0.9719 0.4719 0.1411
11 Bi 0.1341 0.3659 0.5000
12 Bi 0.2500 0.2500 0.0000
13 Bi 0.3659 0.8659 0.2318
14 Bi 0.6341 0.1341 0.7682
15 Bi 0.7500 0.7500 0.0000
16 Bi 0.8659 0.6341 0.5000
17 P 0.2500 0.7500 0.5000
18 P 0.7500 0.2500 0.5000

Calculated values
SG   I4/mcm
Formation energy   -0.7781 eV/atom



Entry from Alexandria via LeMat-Bulk: a geometry-optimized Sc2MoBr structure (PBE).

a b c (Å): 4.8172 4.8172 4.8172
angles (deg): 60.00 60.00 60.00
Atoms (fractional coordinates):
1 Sc 0.2500 0.2500 0.2500
2 Sc 0.7500 0.7500 0.7500
3 Mo 0.0000 0.0000 0.0000
4 Br 0.5000 0.5000 0.5000

Calculated values
SG   Fm-3m
Energy relative to the lowest polymorph listed for this composition   0.606 eV/atom
Raw formation energy   23.0 kJ per mole of atoms



Entry from Alexandria via LeMat-Bulk: a geometry-optimized As2Pb structure (PBE).

a b c (Å): 6.0476 6.0476 8.6401
angles (deg): 115.52 115.52 34.55
Atoms (fractional coordinates):
1 As 0.0179 0.0179 0.2456
2 As 0.4041 0.4041 0.5301
3 As 0.5959 0.5959 0.4699
4 As 0.9821 0.9821 0.7544
5 Pb 0.2680 0.2680 0.8489
6 Pb 0.7320 0.7320 0.1511

Calculated values
SG   C2/m
Energy relative to the lowest polymorph listed for this composition   0.003 eV/atom
Formation energy   0.0541 eV/atom



Entry from Alexandria via LeMat-Bulk: a geometry-optimized PPt structure (PBE).

a b c (Å): 4.4305 4.4305 4.4305
angles (deg): 60.00 60.00 60.00
Atoms (fractional coordinates):
1 P 0.1250 0.1250 0.1250
2 P 0.8750 0.8750 0.8750
3 Pt 0.3750 0.3750 0.3750
4 Pt 0.6250 0.6250 0.6250

Calculated values
SG   Fd-3m
Formation energy   0.4203 eV/atom



Entry from Alexandria via LeMat-Bulk: a geometry-optimized Sr3ScPb structure (PBE).

a b c (Å): 6.2157 6.2157 6.2157
angles (deg): 90.00 90.00 90.00
Atoms (fractional coordinates):
1 Sr 0.0000 0.0000 0.5000
2 Sr 0.0000 0.5000 0.0000
3 Sr 0.5000 0.0000 0.0000
4 Sc 0.0000 0.0000 0.0000
5 Pb 0.5000 0.5000 0.5000

Calculated values
SG   Pm-3m
Energy relative to the lowest polymorph listed for this composition   0.319 eV/atom
Formation energy   0.6020 eV/atom



Entry from Alexandria via LeMat-Bulk: a geometry-optimized Y2MgOsC structure (PBE).

a b c (Å): 5.3560 5.3560 4.4305
angles (deg): 90.00 90.00 90.00
Atoms (fractional coordinates):
1 Y 0.0000 0.5000 0.0000
2 Y 0.5000 0.0000 0.0000
3 Mg 0.0000 0.0000 0.0000
4 Os 0.0000 0.0000 0.5000
5 C 0.5000 0.5000 0.5000

Calculated values
SG   P4/mmm
Energy relative to the lowest polymorph listed for this composition   2.367 eV/atom
Formation energy   2.0394 eV/atom



Entry from Alexandria via LeMat-Bulk: a geometry-optimized HgGeTe2I structure (PBE).

a b c (Å): 5.4991 5.4991 5.7399
angles (deg): 90.00 90.00 90.00
Atoms (fractional coordinates):
1 Hg 0.0000 0.0000 0.0000
2 Ge 0.5000 0.5000 0.5000
3 Te 0.0000 0.5000 0.5000
4 Te 0.5000 0.0000 0.5000
5 I 0.5000 0.5000 0.0000

Calculated values
SG   P4/mmm
Energy relative to the lowest polymorph listed for this composition   0.000 eV/atom
Raw formation energy   28.0 kJ per mole of atoms



Entry from Alexandria via LeMat-Bulk: a geometry-optimized AcErInGa structure (PBE).

a b c (Å): 5.4409 5.4409 5.4409
angles (deg): 60.00 60.00 60.00
Atoms (fractional coordinates):
1 Ac 0.0000 0.0000 0.0000
2 Er 0.5000 0.5000 0.5000
3 In 0.7500 0.7500 0.7500
4 Ga 0.2500 0.2500 0.2500

Calculated values
SG   F-43m
Formation energy   -0.4061 eV/atom



Entry from Alexandria via LeMat-Bulk: a geometry-optimized ZrTe2Ru structure (PBE).

a b c (Å): 9.4848 9.4848 9.4848
angles (deg): 20.95 20.95 20.95
Atoms (fractional coordinates):
1 Zr 0.0000 0.0000 0.0000
2 Te 0.4090 0.4090 0.4090
3 Te 0.5910 0.5910 0.5910
4 Ru 0.5000 0.5000 0.5000

Calculated values
SG   R-3m
Energy relative to the lowest polymorph listed for this composition   0.612 eV/atom
Raw formation energy   13.8 kJ per mole of atoms